CuAg | GGA-PBE | optimized geometry

```
data_CuAg
_chemical_formula_sum 'Cu4 Ag4'
_space_group_name_H-M_alt 'P 1 21/m 1'
_space_group_IT_number 11
_space_group_name_Hall '-P 2yb'
_cell_length_a 4.8102
_cell_length_b 2.8039
_cell_length_c 9.0548
_cell_angle_alpha 90.00
_cell_angle_beta 101.23
_cell_angle_gamma 90.00
loop_
_atom_site_label
_atom_site_fract_x
_atom_site_fract_y
_atom_site_fract_z
Cu1 0.0049 0.2500 0.2661
Cu2 0.2237 0.7500 0.4937
Ag1 0.2436 0.2500 0.9923
Ag2 0.4959 0.2500 0.7320
```

=====

Cu3Ag2 | GGA-PBE | optimized geometry

```
data_Cu3Ag2
_chemical_formula_sum 'Cu6 Ag4'
_space_group_name_H-M_alt 'P 1 21/m 1'
_space_group_IT_number 11
_space_group_name_Hall '-P 2yb'
_cell_length_a 4.6191
_cell_length_b 2.7881
_cell_length_c 11.1096
_cell_angle_alpha 90.00
_cell_angle_beta 93.24
_cell_angle_gamma 90.00
loop_
_atom_site_label
_atom_site_fract_x
_atom_site_fract_y
_atom_site_fract_z
Cu1 0.0600 0.2500 0.4076
Cu2 0.2569 0.2500 0.9983
Cu3 0.3687 0.7500 0.8172
Ag1 0.1284 0.7500 0.1983
Ag2 0.4349 0.2500 0.6099
```

=====

CuAg | GGA-PBE | optimized geometry

```
data_CuAg
_chemical_formula_sum 'Cu5 Ag5'
_space_group_name_H-M_alt 'P 1 2/m 1'
_space_group_IT_number 10
_space_group_name_Hall '-P 2y'
_cell_length_a 6.8204
_cell_length_b 2.8234
_cell_length_c 7.9298
_cell_angle_alpha 90.00
_cell_angle_beta 100.45
_cell_angle_gamma 90.00
loop_
_atom_site_label
_atom_site_fract_x
_atom_site_fract_y
_atom_site_fract_z
Cu1 0.0000 0.0000 0.0000
Cu2 0.0828 0.5000 0.3052
Cu3 0.1799 0.0000 0.5758
Ag1 0.2862 0.5000 0.8726
Ag2 0.3698 0.0000 0.1915
Ag3 0.5000 0.5000 0.5000
```

=====

Cu3Ag2 | GGA-PBE | optimized geometry

```
data_Cu3Ag2
_chemical_formula_sum 'Cu6 Ag4'
_space_group_name_H-M_alt 'P 4 m m'
_space_group_IT_number 99
_space_group_name_Hall 'P 4 -2'
_cell_length_a 2.8241
_cell_length_b 2.8241
_cell_length_c 17.8809
_cell_angle_alpha 90.00
_cell_angle_beta 90.00
_cell_angle_gamma 90.00
loop_
_atom_site_label
_atom_site_fract_x
_atom_site_fract_y
_atom_site_fract_z
Cu1 0.0000 0.0000 0.0000
Cu2 0.0000 0.0000 0.1700
Cu3 0.0000 0.0000 0.3395
Cu4 0.0000 0.0000 0.7913
Cu5 0.5000 0.5000 0.0850
Cu6 0.5000 0.5000 0.2547
Ag1 0.0000 0.0000 0.5659
Ag2 0.5000 0.5000 0.4444
Ag3 0.5000 0.5000 0.6874
Ag4 0.5000 0.5000 0.8956
```

=====

CuAg | GGA-PBE | optimized geometry

```
data_CuAg
_chemical_formula_sum 'Cu10 Ag10'
_space_group_name_H-M_alt 'C 1 m 1'
_space_group_IT_number 8
_space_group_name_Hall 'C -2y'
_cell_length_a 8.7378
_cell_length_b 3.8928
_cell_length_c 8.7789
_cell_angle_alpha 90.00
_cell_angle_beta 91.19
_cell_angle_gamma 90.00
loop_
_atom_site_label
_atom_site_fract_x
_atom_site_fract_y
_atom_site_fract_z
Cu1 0.0000 0.0000 0.0000
Cu2 0.0038 0.5000 0.5085
Cu3 0.0931 0.0000 0.3141
Cu4 0.1002 0.5000 0.7923
Cu5 0.1918 0.0000 0.5979
Ag1 0.1928 0.5000 0.0972
Ag2 0.2911 0.5000 0.4090
Ag3 0.2964 0.0000 0.8945
Ag4 0.4021 0.0000 0.2092
Ag5 0.4066 0.5000 0.7009
```

=====

Cu3Ag7 | GGA-PBE | optimized geometry

```
data_Cu3Ag7
_chemical_formula_sum 'Cu3 Ag7'
_space_group_name_H-M_alt 'P 1 2/m 1'
_space_group_IT_number 10
_space_group_name_Hall '-P 2y'
_cell_length_a 6.9454
_cell_length_b 2.8801
_cell_length_c 8.3774
_cell_angle_alpha 90.00
_cell_angle_beta 104.05
_cell_angle_gamma 90.00
loop_
_atom_site_label
_atom_site_fract_x
_atom_site_fract_y
_atom_site_fract_z
Cu1 0.0000 0.0000 0.0000
Cu2 0.1979 0.0000 0.5960
Ag1 0.0933 0.5000 0.3086
Ag2 0.2869 0.5000 0.8923
Ag3 0.3969 0.0000 0.1969
Ag4 0.5000 0.5000 0.5000
```

=====

Cu3Ag2 | GGA-PBE | optimized geometry

```
data_Cu3Ag2
_chemical_formula_sum 'Cu6 Ag4'
_space_group_name_H-M_alt 'P 1 2/m 1'
_space_group_IT_number 10
_space_group_name_Hall '-P 2y'
_cell_length_a 6.6442
_cell_length_b 2.7895
_cell_length_c 7.9060
_cell_angle_alpha 90.00
_cell_angle_beta 102.15
_cell_angle_gamma 90.00
loop_
_atom_site_label
_atom_site_fract_x
_atom_site_fract_y
_atom_site_fract_z
Cu1 0.0000 0.0000 0.0000
Cu2 0.0738 0.5000 0.3134
Cu3 0.2024 0.0000 0.5790
Cu4 0.5000 0.5000 0.5000
Ag1 0.2949 0.5000 0.8857
Ag2 0.3731 0.0000 0.2144
```

=====

CuAg | GGA-PBE | optimized geometry

```
data_CuAg
_chemical_formula_sum 'Cu10 Ag10'
_space_group_name_H-M_alt 'C 1 m 1'
_space_group_IT_number 8
_space_group_name_Hall 'C -2y'
_cell_length_a 14.7396
_cell_length_b 2.7947
_cell_length_c 7.5206
_cell_angle_alpha 90.00
_cell_angle_beta 105.00
_cell_angle_gamma 90.00
loop_
_atom_site_label
_atom_site_fract_x
_atom_site_fract_y
_atom_site_fract_z
Cu1 0.0000 0.0000 0.0000
Cu2 0.0123 0.0000 0.5379
Cu3 0.0983 0.5000 0.8311
Cu4 0.1958 0.0000 0.1095
Cu5 0.2875 0.5000 0.3979
Ag1 0.0961 0.5000 0.2978
Ag2 0.1975 0.0000 0.6189
Ag3 0.3020 0.5000 0.9320
Ag4 0.4003 0.0000 0.6962
Ag5 0.4036 0.0000 0.2470
```

=====

Uncorrected energy, respectively: -3.18, -3.27, -3.18, -3.30, -3.17, -3.01, -3.27, -3.17 eV per atom.
Volume, respectively: 119.8, 142.8, 150.2, 142.6, 298.5, 162.6, 143.3, 299.2 Å³/cell.